No. 1
Below is a geometry-optimized ErGa2Au4 structure, with properties calculated at the PBE level.

Cell lengths 17.624, 4.424, 6.898 Å; angles 90.00, 90.00, 90.00 degrees
Sites, in units of the cell vectors:
Er (0.141, 0.250, 0.010)
Er (0.359, 0.750, 0.510)
Er (0.641, 0.250, 0.490)
Er (0.859, 0.750, 0.990)
Ga (0.040, 0.750, 0.267)
Ga (0.226, 0.250, 0.499)
Ga (0.274, 0.750, 0.999)
Ga (0.460, 0.250, 0.767)
Ga (0.540, 0.750, 0.233)
Ga (0.726, 0.250, 0.001)
Ga (0.774, 0.750, 0.501)
Ga (0.960, 0.250, 0.733)
Au (0.029, 0.750, 0.864)
Au (0.077, 0.250, 0.498)
Au (0.177, 0.750, 0.712)
Au (0.187, 0.750, 0.295)
Au (0.313, 0.250, 0.795)
Au (0.323, 0.250, 0.212)
Au (0.423, 0.750, 0.998)
Au (0.471, 0.250, 0.364)
Au (0.529, 0.750, 0.636)
Au (0.577, 0.250, 0.002)
Au (0.677, 0.750, 0.788)
Au (0.687, 0.750, 0.205)
Au (0.813, 0.250, 0.705)
Au (0.823, 0.250, 0.288)
Au (0.923, 0.750, 0.502)
Au (0.971, 0.250, 0.136)

Calculated values
As for the total moment: 0.000 μB per cell. Its formation energy from the elements is -0.4720 eV/atom. Its space group is No. 62.

No. 2
Below is a geometry-optimized Er2Ga3Au structure, with properties calculated at the PBE level.

Cell lengths 8.871, 8.502, 5.708 Å; angles 74.36, 67.36, 38.29 degrees
Sites, in units of the cell vectors:
Er (0.243, 0.757, 0.757)
Er (0.250, 0.250, 0.250)
Er (0.750, 0.750, 0.750)
Er (0.757, 0.243, 0.243)
Ga (0.171, 0.665, 0.335)
Ga (0.335, 0.829, 0.171)
Ga (0.337, 0.337, 0.663)
Ga (0.663, 0.663, 0.337)
Ga (0.665, 0.171, 0.829)
Ga (0.829, 0.335, 0.665)
Au (0.169, 0.169, 0.831)
Au (0.831, 0.831, 0.169)

Calculated values
As for the total moment: 0.000 μB per cell. Its formation energy from the elements is -0.7031 eV/atom. Its space group is No. 69.

No. 3
Below is a geometry-optimized ErGa3Au structure, with properties calculated at the PBE level.

Cell lengths 12.191, 12.191, 4.095 Å; angles 90.00, 90.00, 160.42 degrees
Sites, in units of the cell vectors:
Er (0.172, 0.828, 0.000)
Er (0.828, 0.172, 0.000)
Ga (0.052, 0.948, 0.500)
Ga (0.276, 0.724, 0.500)
Ga (0.448, 0.552, 0.000)
Ga (0.552, 0.448, 0.000)
Ga (0.724, 0.276, 0.500)
Ga (0.948, 0.052, 0.500)
Au (0.380, 0.620, 0.500)
Au (0.620, 0.380, 0.500)

Calculated values
As for the total moment: 0.000 μB per cell. Its formation energy from the elements is -0.4717 eV/atom. The energy relative to the lowest polymorph listed for this composition comes out at 37 meV/atom. Its space group is No. 65.

No. 4
Below is a geometry-optimized Er3Ga4Au structure, with properties calculated at the PBE level.

Cell lengths 9.033, 9.033, 9.033 Å; angles 157.31, 140.43, 46.10 degrees
Sites, in units of the cell vectors:
Er (0.000, 0.000, 0.000)
Er (0.279, 0.779, 0.500)
Er (0.721, 0.221, 0.500)
Ga (0.103, 0.379, 0.724)
Ga (0.345, 0.621, 0.724)
Ga (0.655, 0.379, 0.276)
Ga (0.897, 0.621, 0.276)
Au (0.500, 0.500, 0.000)

Calculated values
As for the total moment: 0.000 μB per cell. Its formation energy from the elements is -0.4254 eV/atom. Its space group is No. 71.

No. 5
Below is a geometry-optimized Er5Ga4Au structure, with properties calculated at the PBE level.

Cell lengths 3.542, 3.542, 17.826 Å; angles 90.00, 90.00, 90.00 degrees
Sites, in units of the cell vectors:
Er (0.000, 0.000, 0.000)
Er (0.000, 0.000, 0.199)
Er (0.000, 0.000, 0.400)
Er (0.000, 0.000, 0.600)
Er (0.000, 0.000, 0.801)
Ga (0.500, 0.500, 0.098)
Ga (0.500, 0.500, 0.298)
Ga (0.500, 0.500, 0.702)
Ga (0.500, 0.500, 0.902)
Au (0.500, 0.500, 0.500)

Calculated values
As for the total moment: 0.000 μB per cell. Its formation energy from the elements is -0.6306 eV/atom. Its space group is No. 123.

No. 6
Below is a geometry-optimized ErGa8Au2 structure, with properties calculated at the PBE level.

Cell lengths 6.855, 6.855, 6.452 Å; angles 103.52, 103.52, 47.04 degrees
Sites, in units of the cell vectors:
Er (0.000, 0.000, 0.000)
Ga (0.137, 0.650, 0.539)
Ga (0.247, 0.247, 0.837)
Ga (0.350, 0.863, 0.461)
Ga (0.454, 0.454, 0.169)
Ga (0.546, 0.546, 0.831)
Ga (0.650, 0.137, 0.539)
Ga (0.753, 0.753, 0.163)
Ga (0.863, 0.350, 0.461)
Au (0.240, 0.240, 0.246)
Au (0.760, 0.760, 0.754)

Calculated values
As for the total moment: 0.000 μB per cell. Its formation energy from the elements is -0.1913 eV/atom. Its space group is No. 12.

No. 7
Below is a geometry-optimized ErGa3Au structure, with properties calculated at the PBE level.

Cell lengths 4.136, 4.136, 6.386 Å; angles 108.81, 108.81, 90.04 degrees
Sites, in units of the cell vectors:
Er (0.000, 0.000, 0.000)
Ga (0.260, 0.760, 0.522)
Ga (0.401, 0.401, 0.802)
Ga (0.760, 0.260, 0.522)
Au (0.618, 0.618, 0.238)

Calculated values
As for the total moment: 0.000 μB per cell. Its formation energy from the elements is -0.5087 eV/atom. The energy relative to the lowest polymorph listed for this composition comes out at 0 meV/atom. Its space group is No. 8.

No. 8
Below is a geometry-optimized Er6Ga2Au structure, with properties calculated at the PBE level.

Cell lengths 6.214, 8.133, 10.972 Å; angles 90.00, 120.10, 90.00 degrees
Sites, in units of the cell vectors:
Er (0.078, 0.162, 0.439)
Er (0.078, 0.338, 0.939)
Er (0.326, 0.689, 0.437)
Er (0.326, 0.811, 0.937)
Er (0.413, 0.040, 0.275)
Er (0.413, 0.460, 0.775)
Er (0.587, 0.540, 0.225)
Er (0.587, 0.960, 0.725)
Er (0.674, 0.189, 0.063)
Er (0.674, 0.311, 0.563)
Er (0.922, 0.662, 0.061)
Er (0.922, 0.838, 0.561)
Ga (0.187, 0.126, 0.755)
Ga (0.187, 0.374, 0.255)
Ga (0.813, 0.626, 0.745)
Ga (0.813, 0.874, 0.245)
Au (0.000, 0.000, 0.000)
Au (0.000, 0.500, 0.500)

Calculated values
As for the total moment: 0.000 μB per cell. Its formation energy from the elements is -0.3729 eV/atom. The energy relative to the lowest polymorph listed for this composition comes out at 110 meV/atom. Its space group is No. 14.

No. 9
Below is a geometry-optimized Er3Ga2Au structure, with properties calculated at the PBE level.

Cell lengths 11.578, 4.478, 10.911 Å; angles 90.00, 90.00, 90.00 degrees
Sites, in units of the cell vectors:
Er (0.045, 0.250, 0.129)
Er (0.133, 0.750, 0.577)
Er (0.212, 0.250, 0.820)
Er (0.288, 0.750, 0.320)
Er (0.367, 0.250, 0.077)
Er (0.455, 0.750, 0.629)
Er (0.545, 0.250, 0.371)
Er (0.633, 0.750, 0.923)
Er (0.712, 0.250, 0.680)
Er (0.788, 0.750, 0.180)
Er (0.867, 0.250, 0.423)
Er (0.955, 0.750, 0.871)
Ga (0.013, 0.750, 0.314)
Ga (0.181, 0.750, 0.028)
Ga (0.319, 0.250, 0.528)
Ga (0.487, 0.250, 0.814)
Ga (0.513, 0.750, 0.186)
Ga (0.681, 0.750, 0.472)
Ga (0.819, 0.250, 0.972)
Ga (0.987, 0.250, 0.686)
Au (0.126, 0.250, 0.387)
Au (0.374, 0.750, 0.887)
Au (0.626, 0.250, 0.113)
Au (0.874, 0.750, 0.613)

Calculated values
As for the total moment: 0.000 μB per cell. Its formation energy from the elements is -0.6249 eV/atom. The energy relative to the lowest polymorph listed for this composition comes out at 39 meV/atom. Its space group is No. 62.

No. 10
Below is a geometry-optimized Er2Ga3Au5 structure, with properties calculated at the PBE level.

Cell lengths 8.758, 8.758, 8.758 Å; angles 96.92, 96.22, 140.46 degrees
Sites, in units of the cell vectors:
Er (0.222, 0.133, 0.354)
Er (0.278, 0.633, 0.911)
Er (0.722, 0.367, 0.089)
Er (0.778, 0.867, 0.646)
Ga (0.128, 0.865, 0.993)
Ga (0.250, 0.750, 0.500)
Ga (0.372, 0.365, 0.737)
Ga (0.628, 0.635, 0.263)
Ga (0.750, 0.250, 0.500)
Ga (0.872, 0.135, 0.007)
Au (0.162, 0.401, 0.563)
Au (0.250, 0.250, 0.000)
Au (0.250, 0.514, 0.264)
Au (0.250, 0.986, 0.736)
Au (0.338, 0.901, 0.239)
Au (0.662, 0.099, 0.761)
Au (0.750, 0.014, 0.264)
Au (0.750, 0.486, 0.736)
Au (0.750, 0.750, 0.000)
Au (0.838, 0.599, 0.437)

Calculated values
As for the total moment: 0.000 μB per cell. Its formation energy from the elements is -0.5415 eV/atom. The energy relative to the lowest polymorph listed for this composition comes out at 39 meV/atom. Its space group is No. 72.

No. 11
Below is a geometry-optimized Er2Ga3Au structure, with properties calculated at the PBE level.

Cell lengths 5.641, 5.641, 7.109 Å; angles 128.17, 128.17, 46.61 degrees
Sites, in units of the cell vectors:
Er (0.000, 0.000, 0.000)
Er (0.074, 0.074, 0.581)
Ga (0.374, 0.374, 0.588)
Ga (0.379, 0.379, 0.185)
Ga (0.702, 0.702, 0.407)
Au (0.706, 0.706, 0.002)

Calculated values
As for the total moment: 0.000 μB per cell. Its formation energy from the elements is -0.7040 eV/atom. Its space group is No. 8.

No. 12
Below is a geometry-optimized Er3Ga2Au4 structure, with properties calculated at the PBE level.

Cell lengths 5.773, 5.773, 8.668 Å; angles 114.00, 114.00, 46.48 degrees
Sites, in units of the cell vectors:
Er (0.000, 0.000, 0.000)
Er (0.347, 0.347, 0.318)
Er (0.653, 0.653, 0.682)
Ga (0.362, 0.362, 0.690)
Ga (0.638, 0.638, 0.310)
Au (0.076, 0.076, 0.399)
Au (0.285, 0.285, 0.934)
Au (0.715, 0.715, 0.066)
Au (0.924, 0.924, 0.601)

Calculated values
As for the total moment: 0.000 μB per cell. Its formation energy from the elements is -0.8011 eV/atom. Its space group is No. 12.

No. 13
Below is a geometry-optimized Er4Ga16Au3 structure, with properties calculated at the PBE level.

Cell lengths 6.357, 6.357, 11.017 Å; angles 90.00, 90.00, 90.00 degrees
Sites, in units of the cell vectors:
Er (0.000, 0.500, 0.187)
Er (0.000, 0.500, 0.813)
Er (0.500, 0.000, 0.187)
Er (0.500, 0.000, 0.813)
Ga (0.000, 0.000, 0.202)
Ga (0.000, 0.000, 0.798)
Ga (0.207, 0.207, 0.000)
Ga (0.207, 0.793, 0.000)
Ga (0.243, 0.243, 0.370)
Ga (0.243, 0.243, 0.630)
Ga (0.243, 0.757, 0.370)
Ga (0.243, 0.757, 0.630)
Ga (0.500, 0.500, 0.239)
Ga (0.500, 0.500, 0.761)
Ga (0.757, 0.243, 0.370)
Ga (0.757, 0.243, 0.630)
Ga (0.757, 0.757, 0.370)
Ga (0.757, 0.757, 0.630)
Ga (0.793, 0.207, 0.000)
Ga (0.793, 0.793, 0.000)
Au (0.000, 0.500, 0.500)
Au (0.500, 0.000, 0.500)
Au (0.500, 0.500, 0.000)

Calculated values
As for the total moment: 0.000 μB per cell. Its formation energy from the elements is -0.3994 eV/atom. Its space group is No. 123.

No. 14
Below is a geometry-optimized Er3Ga3Au structure, with properties calculated at the PBE level.

Cell lengths 5.751, 5.751, 14.174 Å; angles 108.16, 108.16, 44.72 degrees
Sites, in units of the cell vectors:
Er (0.035, 0.035, 0.380)
Er (0.105, 0.105, 0.925)
Er (0.236, 0.236, 0.226)
Er (0.764, 0.764, 0.774)
Er (0.895, 0.895, 0.075)
Er (0.965, 0.965, 0.620)
Ga (0.371, 0.371, 0.460)
Ga (0.389, 0.389, 0.925)
Ga (0.479, 0.479, 0.774)
Ga (0.521, 0.521, 0.226)
Ga (0.611, 0.611, 0.075)
Ga (0.629, 0.629, 0.540)
Au (0.253, 0.253, 0.615)
Au (0.747, 0.747, 0.385)

Calculated values
As for the total moment: 0.000 μB per cell. Its formation energy from the elements is -0.7006 eV/atom. Its space group is No. 12.

No. 15
Below is a geometry-optimized Er8Ga2Au structure, with properties calculated at the PBE level.

Cell lengths 9.498, 9.498, 6.601 Å; angles 101.15, 101.15, 30.12 degrees
Sites, in units of the cell vectors:
Er (0.025, 0.025, 0.270)
Er (0.209, 0.209, 0.820)
Er (0.342, 0.342, 0.520)
Er (0.408, 0.408, 0.037)
Er (0.592, 0.592, 0.963)
Er (0.658, 0.658, 0.480)
Er (0.791, 0.791, 0.180)
Er (0.975, 0.975, 0.730)
Ga (0.188, 0.188, 0.257)
Ga (0.812, 0.812, 0.743)
Au (0.500, 0.500, 0.500)

Calculated values
As for the total moment: 0.000 μB per cell. Its formation energy from the elements is -0.3507 eV/atom. Its space group is No. 12.

No. 16
Below is a geometry-optimized Er3Ga2Au structure, with properties calculated at the PBE level.

Cell lengths 3.563, 3.563, 10.608 Å; angles 90.00, 90.00, 90.00 degrees
Sites, in units of the cell vectors:
Er (0.000, 0.000, 0.000)
Er (0.000, 0.000, 0.333)
Er (0.000, 0.000, 0.667)
Ga (0.500, 0.500, 0.165)
Ga (0.500, 0.500, 0.835)
Au (0.500, 0.500, 0.500)

Calculated values
As for the total moment: 0.000 μB per cell. Its formation energy from the elements is -0.6639 eV/atom. The energy relative to the lowest polymorph listed for this composition comes out at 0 meV/atom. Its space group is No. 123.

No. 17
Below is a geometry-optimized Er4GaAu2 structure, with properties calculated at the PBE level.

Cell lengths 8.593, 8.593, 8.593 Å; angles 33.85, 33.85, 33.85 degrees
Sites, in units of the cell vectors:
Er (0.122, 0.122, 0.122)
Er (0.374, 0.374, 0.374)
Er (0.626, 0.626, 0.626)
Er (0.878, 0.878, 0.878)
Ga (0.500, 0.500, 0.500)
Au (0.251, 0.251, 0.251)
Au (0.749, 0.749, 0.749)

Calculated values
As for the total moment: 0.000 μB per cell. Its formation energy from the elements is -0.6108 eV/atom. Its space group is No. 166.

No. 18
Below is a geometry-optimized ErGa4Au2 structure, with properties calculated at the PBE level.

Cell lengths 17.228, 4.387, 7.014 Å; angles 90.00, 90.00, 90.00 degrees
Sites, in units of the cell vectors:
Er (0.143, 0.250, 0.025)
Er (0.357, 0.750, 0.525)
Er (0.643, 0.250, 0.475)
Er (0.857, 0.750, 0.975)
Ga (0.040, 0.750, 0.863)
Ga (0.063, 0.250, 0.464)
Ga (0.182, 0.750, 0.335)
Ga (0.187, 0.750, 0.743)
Ga (0.313, 0.250, 0.243)
Ga (0.318, 0.250, 0.835)
Ga (0.437, 0.750, 0.964)
Ga (0.460, 0.250, 0.363)
Ga (0.540, 0.750, 0.637)
Ga (0.563, 0.250, 0.036)
Ga (0.682, 0.750, 0.165)
Ga (0.687, 0.750, 0.757)
Ga (0.813, 0.250, 0.257)
Ga (0.818, 0.250, 0.665)
Ga (0.937, 0.750, 0.536)
Ga (0.960, 0.250, 0.137)
Au (0.032, 0.750, 0.242)
Au (0.216, 0.250, 0.545)
Au (0.284, 0.750, 0.045)
Au (0.468, 0.250, 0.742)
Au (0.532, 0.750, 0.258)
Au (0.716, 0.250, 0.955)
Au (0.784, 0.750, 0.455)
Au (0.968, 0.250, 0.758)

Calculated values
As for the total moment: 0.000 μB per cell. Its formation energy from the elements is -0.4587 eV/atom. Its space group is No. 62.

No. 19
Below is a geometry-optimized Er3Ga9Au2 structure, with properties calculated at the PBE level.

Cell lengths 8.275, 8.275, 8.275 Å; angles 150.35, 103.40, 84.22 degrees
Sites, in units of the cell vectors:
Er (0.000, 0.000, 0.000)
Er (0.320, 0.320, 0.000)
Er (0.680, 0.680, 0.000)
Ga (0.043, 0.665, 0.378)
Ga (0.135, 0.860, 0.275)
Ga (0.286, 0.665, 0.622)
Ga (0.415, 0.140, 0.275)
Ga (0.500, 0.000, 0.500)
Ga (0.585, 0.860, 0.725)
Ga (0.714, 0.335, 0.378)
Ga (0.865, 0.140, 0.725)
Ga (0.957, 0.335, 0.622)
Au (0.286, 0.500, 0.786)
Au (0.714, 0.500, 0.214)

Calculated values
As for the total moment: 0.000 μB per cell. Its formation energy from the elements is -0.5089 eV/atom. Its space group is No. 71.

N(E_F) in states/eV per atom, matching the order above: 0.38, 0.53, 0.39, 0.68, 0.57, 0.33, 0.19, 1.11, 0.90, 0.53, 0.57, 0.51, 0.40, 0.45, 0.95, 0.70, 0.64, 0.29, 0.28
Uncorrected energy in eV/atom, matching the order above: -3.86, -4.28, -3.86, -4.06, -4.45, -3.40, -3.89, -4.45, -4.46, -4.00, -4.28, -4.45, -3.73, -4.42, -4.52, -4.50, -4.59, -3.78, -3.90